# 1
VASP calculation (PBE) on an optimized crystal structure of CdCl2.

Output
Crystal system: orthorhombic
Symmetry: Ama2 (40)
E_tot: -7.59 eV per formula unit

Unit cell a=7.8311 b=4.5027 c=4.5027 alpha=88.35 beta=90.00 gamma=90.00
Fractional positions:
Cd (0.2500, 0.1590, 0.8410)
Cd (0.7500, 0.8410, 0.1590)
Cl (0.0000, 0.1964, 0.1964)
Cl (0.2500, 0.6706, 0.5972)
Cl (0.5000, 0.1964, 0.1964)
Cl (0.7500, 0.5972, 0.6706)

---

# 2
VASP calculation (PBE) on an optimized crystal structure of KSmTa.

Output
Crystal system: cubic
Energy relative to the lowest polymorph listed for this composition: 0.000 eV/atom
Symmetry: F-43m (216)
E_tot: -11.85 eV per formula unit

Unit cell a=5.4258 b=5.4258 c=5.4258 alpha=60.00 beta=60.00 gamma=60.00
Fractional positions:
K (0.0000, 0.0000, 0.0000)
Sm (0.2500, 0.2500, 0.2500)
Ta (0.5000, 0.5000, 0.5000)

---

# 3
VASP calculation (PBE) on an optimized crystal structure of YAgB2.

Output
Crystal system: cubic
Symmetry: F-43m (216)
E_tot: -18.58 eV per formula unit

Unit cell a=4.4155 b=4.4155 c=4.4155 alpha=60.00 beta=60.00 gamma=60.00
Fractional positions:
Y (0.0000, 0.0000, 0.0000)
Ag (0.2500, 0.2500, 0.2500)
B (0.5000, 0.5000, 0.5000)
B (0.7500, 0.7500, 0.7500)

---

# 4
VASP calculation (PBE) on an optimized crystal structure of ZrAl2Sn2.

Output
Crystal system: tetragonal
Energy relative to the lowest polymorph listed for this composition: 0.219 eV/atom
Symmetry: I4/mmm (139)
E_tot: -22.58 eV per formula unit

Unit cell a=7.0402 b=7.0402 c=7.0402 alpha=144.83 beta=144.83 gamma=50.58
Fractional positions:
Zr (0.0000, 0.0000, 0.0000)
Al (0.4065, 0.4065, 0.0000)
Al (0.5935, 0.5935, 0.0000)
Sn (0.2500, 0.7500, 0.5000)
Sn (0.7500, 0.2500, 0.5000)

---

# 5
VASP calculation (PBE) on an optimized crystal structure of Pr2NdSn3PdPt2.

Output
Crystal system: orthorhombic
Symmetry: Amm2 (38)
E_tot: -52.66 eV per formula unit

Unit cell a=4.1480 b=7.6860 c=7.6860 alpha=119.98 beta=90.00 gamma=90.00
Fractional positions:
Pr (0.0000, 0.2061, 0.7939)
Pr (0.0000, 0.7939, 0.2061)
Nd (0.0000, 0.6179, 0.6179)
Sn (0.5000, 0.2069, 0.4580)
Sn (0.5000, 0.4580, 0.2069)
Sn (0.5000, 0.9542, 0.9542)
Pd (0.0000, 0.2073, 0.2073)
Pt (0.5000, 0.5400, 0.8714)
Pt (0.5000, 0.8714, 0.5400)

---

# 6
VASP calculation (PBE) on an optimized crystal structure of RbHoTeO.

Output
Crystal system: trigonal
Energy relative to the lowest polymorph listed for this composition: 0.342 eV/atom
Symmetry: R3m (160)
E_tot: -20.77 eV per formula unit

Unit cell a=8.0588 b=8.0588 c=8.0588 alpha=27.89 beta=27.89 gamma=27.89
Fractional positions:
Rb (0.0000, 0.0000, 0.0000)
Ho (0.5318, 0.5318, 0.5318)
Te (0.7793, 0.7793, 0.7793)
O (0.2377, 0.2377, 0.2377)